Material: MnBOs
Method: DFT, GGA-PBE
State: relaxed

Lattice parameters (Å, degrees): 4.7165 4.7165 4.7165 147.13 147.13 47.18
Positions (direct):
Mn1 0.0000 0.0000 0.0000
B1 0.3654 0.3654 0.0000
Os1 0.7086 0.7086 0.0000

Calculated values
Calculated volume   31 Å³/cell
M_tot   0.0 μB per cell
E_form   -8 meV/atom